Density functional theory data (PBE with a Hubbard U) for a relaxed Fe5O8F2 crystal.

Computed properties:
Energy above the lowest structure with this stoichiometry: 210 meV per atom
N(E_F): 11.52 states/eV per cell
Total magnetization: 9.01 μB/f.u.
Total energy: -5.909 eV per atom

Cell lengths 4.5576, 5.4448, 12.7625 Å; angles 77.97, 89.21, 89.24 degrees
Closest atoms and distances in Å follow each position.
Space group P1 (No. 1)
One atom of each set of equivalent atoms:
Fe (0.0000, 0.0000, 0.0000) (multiplicity 1)  5 O 1.87-1.96, 1 F 2.00
Fe (0.0024, 0.2066, 0.4079) (multiplicity 1)  5 O 1.79-1.91
Fe (0.0080, 0.8051, 0.6052) (multiplicity 1)  5 O 1.93-1.97, 1 F 2.14
Fe (0.4530, 0.6864, 0.3973) (multiplicity 1)  4 O 1.93-2.03, 2 F 2.08-2.10
Fe (0.4765, 0.0949, 0.1966) (multiplicity 1)  5 O 1.91-2.01, 1 F 2.09
Fe (0.4829, 0.2810, 0.6045) (multiplicity 1)  5 O 1.85-1.98, 1 F 2.00
Fe (0.5139, 0.9003, 0.8039) (multiplicity 1)  5 O 1.88-1.95, 1 F 2.00
Fe (0.5291, 0.4870, 0.0036) (multiplicity 1)  4 O 1.92-1.98, 2 F 1.99-2.06
Fe (0.9805, 0.5874, 0.2086) (multiplicity 1)  5 O 1.88-1.96, 1 F 2.03
Fe (0.9926, 0.3823, 0.7978) (multiplicity 1)  5 O 1.91-1.97, 1 F 2.12
O (0.1736, 0.8860, 0.4625) (multiplicity 1)  3 Fe 1.90-1.95
O (0.1790, 0.2777, 0.2710) (multiplicity 1)  3 Fe 1.88-2.01
O (0.1919, 0.4753, 0.6612) (multiplicity 1)  3 Fe 1.91-1.97
O (0.1947, 0.0706, 0.8610) (multiplicity 1)  3 Fe 1.93-1.95
O (0.2820, 0.3633, 0.4652) (multiplicity 1)  3 Fe 1.79-1.98
O (0.2858, 0.7765, 0.2564) (multiplicity 1)  3 Fe 1.92-1.95
O (0.2997, 0.1802, 0.0587) (multiplicity 1)  3 Fe 1.91-1.98
O (0.3146, 0.9774, 0.6682) (multiplicity 1)  3 Fe 1.85-1.96
O (0.6843, 0.2065, 0.7378) (multiplicity 1)  3 Fe 1.88-1.96
O (0.6938, 0.4110, 0.1447) (multiplicity 1)  3 Fe 1.92-1.98
O (0.7037, 0.8093, 0.9431) (multiplicity 1)  3 Fe 1.94-1.95
O (0.7906, 0.1139, 0.5402) (multiplicity 1)  3 Fe 1.91-1.97
O (0.7996, 0.5054, 0.3449) (multiplicity 1)  3 Fe 1.88-2.03
O (0.8012, 0.9081, 0.1398) (multiplicity 1)  3 Fe 1.96-2.00
O (0.8047, 0.7100, 0.7429) (multiplicity 1)  3 Fe 1.93-1.97
O (0.8174, 0.3039, 0.9373) (multiplicity 1)  3 Fe 1.87-1.93
F (0.1874, 0.6706, 0.0639) (multiplicity 1)  3 Fe 2.00-2.06
F (0.3158, 0.5748, 0.8657) (multiplicity 1)  3 Fe 1.99-2.12
F (0.6764, 0.6064, 0.5413) (multiplicity 1)  3 Fe 2.00-2.14
F (0.6917, 0.0166, 0.3433) (multiplicity 1)  3 Fe 2.05-2.10